Computed, not measured: a geometry-optimized KBi2Pt structure at the GGA-PBE level of DFT.

total magnetization	0.0	Bohr magnetons per cell
symmetry	Immm, No. 71
calculated formation energy	-0.286	eV per atom
energy relative to the lowest polymorph listed for this composition	0.22	eV per formula unit

Unit cell a=10.8569 b=10.8569 c=10.8569 alpha=152.62 beta=125.01 gamma=62.50
Fractional positions:
K: 0.2039 0.2039 0.0000
K: 0.2414 0.0000 0.2414
K: 0.7586 0.0000 0.7586
K: 0.7961 0.7961 0.0000
Bi: 0.0826 0.5826 0.5000
Bi: 0.1397 0.8021 0.3375
Bi: 0.4151 0.4151 0.0000
Bi: 0.4646 0.8021 0.6625
Bi: 0.5354 0.1979 0.3375
Bi: 0.5849 0.5849 0.0000
Bi: 0.8603 0.1979 0.6625
Bi: 0.9174 0.4174 0.5000
Pt: 0.0959 0.3474 0.7485
Pt: 0.4012 0.6526 0.7485
Pt: 0.5988 0.3474 0.2515
Pt: 0.9041 0.6526 0.2515

Computed, not measured: a geometry-optimized KBiPt2 structure at the GGA-PBE level of DFT.

total magnetization	0.0	Bohr magnetons per cell
symmetry	I-42d, No. 122
calculated formation energy	0.225	eV per atom

Unit cell a=6.5628 b=6.5628 c=6.5628 alpha=104.33 beta=104.33 gamma=120.32
Fractional positions:
K: 0.0000 0.0000 0.0000
K: 0.7500 0.2500 0.5000
Bi: 0.2500 0.7500 0.5000
Bi: 0.5000 0.5000 0.0000
Pt: 0.1774 0.1250 0.5524
Pt: 0.3750 0.8226 0.9476
Pt: 0.5726 0.6250 0.4476
Pt: 0.8750 0.4274 0.0524

Computed, not measured: a geometry-optimized K2Bi2Pt3 structure at the GGA-PBE level of DFT.

total magnetization	0.0	Bohr magnetons per cell
symmetry	C2/m, No. 12
calculated formation energy	-0.219	eV per atom
energy relative to the lowest polymorph listed for this composition	0.38	eV per formula unit

Unit cell a=6.4692 b=6.4692 c=7.4793 alpha=120.55 beta=120.55 gamma=42.51
Fractional positions:
K: 0.1640 0.1640 0.2998
K: 0.8360 0.8360 0.7002
Bi: 0.1435 0.1435 0.7792
Bi: 0.8565 0.8565 0.2208
Pt: 0.4200 0.4200 0.0771
Pt: 0.5000 0.5000 0.5000
Pt: 0.5800 0.5800 0.9229

Computed, not measured: a geometry-optimized K5Bi4Pt2 structure at the GGA-PBE level of DFT.

total magnetization	0.0	Bohr magnetons per cell
symmetry	C2/m, No. 12
calculated formation energy	-0.208	eV per atom

Unit cell a=11.7155 b=11.7155 c=10.3788 alpha=116.25 beta=116.25 gamma=18.64
Fractional positions:
K: 0.0000 0.0000 0.0000
K: 0.3374 0.3374 0.0622
K: 0.3374 0.3374 0.6118
K: 0.6626 0.6626 0.3882
K: 0.6626 0.6626 0.9378
Bi: 0.2030 0.2030 0.7033
Bi: 0.4999 0.4999 0.3414
Bi: 0.5001 0.5001 0.6586
Bi: 0.7970 0.7970 0.2967
Pt: 0.0688 0.0688 0.5687
Pt: 0.9312 0.9312 0.4313